No. 1
Here is a relaxed Hf2ZrCd crystal from Alexandria. Energies are from PBE.

Lattice parameters (Å, degrees): 3.190 3.190 10.414 81.18 81.18 60.00
Atoms (fractional coordinates):
Hf: 0.082 0.082 0.754
Hf: 0.251 0.251 0.246
Zr: 0.667 0.667 0.000
Cd: 0.500 0.500 0.500

Calculated values
Calculated formation energy (meV per atom): 42
Crystal system: trigonal
Space-group type: R3m

No. 2
Here is a relaxed HfCd crystal from Alexandria. Energies are from PBE.

Lattice parameters (Å, degrees): 6.400 6.400 6.400 90.00 90.00 90.00
Atoms (fractional coordinates):
Hf: 0.000 0.000 0.000
Hf: 0.000 0.500 0.500
Hf: 0.500 0.000 0.500
Hf: 0.500 0.500 0.000
Cd: 0.250 0.250 0.250
Cd: 0.250 0.750 0.750
Cd: 0.750 0.250 0.750
Cd: 0.750 0.750 0.250

Calculated values
Calculated formation energy (meV per atom): 1566
Crystal system: cubic
Space-group type: F-43m

No. 3
Here is a relaxed BePtCl2 crystal from Alexandria. Energies are from PBE.

Lattice parameters (Å, degrees): 7.329 7.329 7.329 156.13 142.52 44.92
Atoms (fractional coordinates):
Be: 0.216 0.716 0.500
Pt: 0.347 0.347 0.000
Cl: 0.115 0.115 0.000
Cl: 0.822 0.322 0.500

Calculated values
Crystal system: orthorhombic
Space-group type: Imm2
Energy above the most stable polymorph in this dataset (meV/atom): 27

No. 4
Here is a relaxed SrCdNi2 crystal from Alexandria. Energies are from PBE.

Lattice parameters (Å, degrees): 4.001 4.098 5.497 68.21 90.00 90.00
Atoms (fractional coordinates):
Cd: 0.500 0.761 0.853
Ni: 0.000 0.187 0.000
Ni: 0.500 0.081 0.214
Sr: 0.000 0.471 0.434

Calculated values
Calculated formation energy (meV per atom): 42
Crystal system: monoclinic
Space-group type: Pm

No. 5
Here is a relaxed ReTePbN2 crystal from Alexandria. Energies are from PBE.

Lattice parameters (Å, degrees): 4.071 4.071 5.642 90.00 90.00 90.00
Atoms (fractional coordinates):
Pb: 0.500 0.500 0.500
Re: 0.000 0.000 0.000
Te: 0.000 0.000 0.500
N: 0.000 0.500 0.000
N: 0.500 0.000 0.000

Calculated values
Crystal system: tetragonal
Space-group type: P4/mmm
Energy above the most stable polymorph in this dataset (meV/atom): 0

No. 6
Here is a relaxed LaTbPb crystal from Alexandria. Energies are from PBE.

Lattice parameters (Å, degrees): 3.456 3.456 9.500 100.48 100.48 90.00
Atoms (fractional coordinates):
Pb: 0.947 0.947 0.895
Tb: 0.773 0.773 0.546
La: 0.130 0.130 0.259

Calculated values
Calculated formation energy (meV per atom): 197
Crystal system: tetragonal
Space-group type: I4mm
Energy above the most stable polymorph in this dataset (meV/atom): 658

No. 7
Here is a relaxed BaCaNbAu2 crystal from Alexandria. Energies are from PBE.

Lattice parameters (Å, degrees): 5.301 5.493 5.301 90.00 90.00 90.00
Atoms (fractional coordinates):
Nb: 0.000 0.000 0.000
Ca: 0.500 0.500 0.500
Au: 0.000 0.000 0.500
Au: 0.500 0.000 0.000
Ba: 0.000 0.500 0.000

Calculated values
Calculated formation energy (meV per atom): 412
Crystal system: tetragonal
Space-group type: P4/mmm

No. 8
Here is a relaxed Y4PaBi5 crystal from Alexandria. Energies are from PBE.

Lattice parameters (Å, degrees): 6.347 7.760 7.760 80.37 65.86 65.86
Atoms (fractional coordinates):
Y: 0.401 0.400 0.798
Y: 0.802 0.798 0.600
Y: 0.200 0.202 0.400
Y: 0.600 0.600 0.202
Pa: 0.001 0.000 0.000
Bi: 0.902 0.398 0.801
Bi: 0.300 0.801 0.602
Bi: 0.702 0.199 0.398
Bi: 0.100 0.602 0.199
Bi: 0.501 0.000 0.000

Calculated values
Calculated formation energy (meV per atom): -726
Crystal system: tetragonal
Space-group type: I4/m